The following is a DFT calculation (PBE) of crystalline AcTaPtO6 at its relaxed geometry.

Unit cell a=5.036 b=5.036 c=9.978 alpha=90.00 beta=90.00 gamma=90.00
Space group P4_2nm (No. 102)
Inequivalent atoms, fractional coordinates:
1 Ac 0.000 0.000 0.000 (multiplicity 2)
2 Ta 0.000 0.000 0.664 (multiplicity 2)
3 Pt 0.000 0.000 0.324 (multiplicity 2)
4 O 0.164 0.164 0.493 (multiplicity 4)
5 O 0.211 0.211 0.794 (multiplicity 4)
6 O 0.220 0.220 0.184 (multiplicity 4)

The electronic total energy is -70.6 eV per formula unit. The formation energy (no corrections) is -2.098 eV/atom. The size of the total moment is 0.000 μB/atom.